# Ce4FeSe6O | the Alexandria database | PBE+U | relaxed
data_Ce4FeSe6O
_chemical_formula_sum 'Ce8 Fe2 Se12 O2'
_cell_length_a 9.4940
_cell_length_b 9.4940
_cell_length_c 7.0648
_cell_angle_alpha 90.00
_cell_angle_beta 90.00
_cell_angle_gamma 120.00
_space_group_name_H-M_alt 'P 63 m c'
_space_group_IT_number 186
_space_group_name_Hall 'P 6c -2c'
loop_
_atom_site_label
_atom_site_type_symbol
_atom_site_fract_x
_atom_site_fract_y
_atom_site_fract_z
Ce1 Ce 0.1972 0.3945 0.0000
Ce2 Ce 0.3333 0.6667 0.4431
Fe1 Fe 0.0000 0.0000 0.1626
Se1 Se 0.0599 0.5300 0.7131
Se2 Se 0.1294 0.2588 0.3944
O1 O 0.3333 0.6667 0.1080
# Uncorrected energy: -6.39 eV/atom
# Magnetization: 5.99 μB per formula unit